1.
VASP calculation (PBEsol) on a geometry-optimized CsSeIN2 structure.

a b c (Å): 4.6590 4.6590 5.7200
angles (deg): 90.00 90.00 90.00
With the nearest neighbours (Å) after each atom.
Positions (direct):
Cs 0.5000 0.5000 0.5000  4 I 3.29, 8 N 3.69
Se 0.0000 0.0000 0.0000  4 N 2.33
I 0.0000 0.0000 0.5000  2 Se 2.86
N 0.0000 0.5000 0.0000  2 Se 2.33
N 0.5000 0.0000 0.0000  2 Se 2.33

Raw formation energy, eV/atom: 1.289
M_tot, Bohr magnetons per cell: 2.698

---

2.
VASP calculation (PBEsol) on a geometry-optimized CsTaIN2 structure.

a b c (Å): 4.3472 4.3472 5.6069
angles (deg): 90.00 90.00 90.00
With the nearest neighbours (Å) after each atom.
Positions (direct):
N 0.0000 0.5000 0.0000  2 Ta 2.17
Cs 0.5000 0.5000 0.5000  4 I 3.07
N 0.5000 0.0000 0.0000  2 Ta 2.17
Ta 0.0000 0.0000 0.0000  4 N 2.17
I 0.0000 0.0000 0.5000  2 Ta 2.80, 4 Cs 3.07

Raw formation energy, eV/atom: 0.182
M_tot, Bohr magnetons per cell: 0.756